No. 1
Pr2Dy2Y7: relaxed, PBE-GGA.

DFT formation energy: 0.019 eV per atom

a = 3.590 Å, b = 11.365 Å, c = 9.492 Å
α = 83.20°, β = 100.86°, γ = 108.49°
Atoms (fractional coordinates):
Pr 0.453 0.817 0.272
Pr 0.547 0.183 0.728
Dy 0.181 0.726 0.909
Dy 0.819 0.274 0.091
Y 0.726 0.908 0.637
Y 0.634 0.543 0.181
Y 0.274 0.092 0.363
Y 0.366 0.457 0.819
Y 0.000 0.000 0.000
Y 0.910 0.636 0.547
Y 0.090 0.364 0.453

---

No. 2
MnTlAg2I6: relaxed, PBE-GGA.

Uncorrected formation energy: -0.316 eV/atom

a = 9.032 Å, b = 10.961 Å, c = 10.961 Å
α = 79.65°, β = 67.81°, γ = 67.81°
Last column: magnetic moment on the atom in μB.
Atoms (fractional coordinates):
Mn 0.250 0.184 0.816  3.76
Mn 0.750 0.816 0.184  3.76
Tl 0.250 0.748 0.252  0.01
Tl 0.750 0.252 0.748  0.01
Ag 0.318 0.764 0.642  -0.02
Ag 0.182 0.358 0.236  -0.02
Ag 0.682 0.236 0.358  -0.02
Ag 0.818 0.642 0.764  -0.02
I 0.133 0.010 0.788  -0.01
I 0.367 0.212 0.990  -0.01
I 0.867 0.990 0.212  -0.01
I 0.633 0.788 0.010  -0.01
I 0.460 0.884 0.378  0.00
I 0.040 0.622 0.116  0.00
I 0.540 0.116 0.622  0.00
I 0.960 0.378 0.884  0.00
I 0.045 0.756 0.587  -0.02
I 0.455 0.413 0.244  -0.02
I 0.955 0.244 0.413  -0.02
I 0.545 0.587 0.756  -0.02

---

No. 3
K2RbPd: relaxed, PBE-GGA.

DFT formation energy: 0.489 eV per atom

a = 4.183 Å, b = 4.183 Å, c = 14.425 Å
α = 81.66°, β = 81.66°, γ = 60.00°
Atoms (fractional coordinates):
K 0.067 0.067 0.798
K 0.933 0.933 0.202
Rb 0.500 0.500 0.500
Pd 0.000 0.000 0.000

---

No. 4
CdAs: relaxed, PBE-GGA.

DFT formation energy: 0.139 eV per atom

a = 6.643 Å, b = 6.643 Å, c = 6.643 Å
α = 36.91°, β = 36.91°, γ = 36.91°
Atoms (fractional coordinates):
As 0.291 0.291 0.291
As 0.709 0.709 0.709
Cd 0.119 0.119 0.119
Cd 0.881 0.881 0.881

---

Calculated volume (Å³ per cell), listed in the same order as above: 360.0; 929.5; 215.5; 94.7
Calculated N(E_F) (states/eV/cell), listed in the same order as above: 15.34; 2.45; 1.99; 1.68
Calculated total magnetization (μB per formula unit), listed in the same order as above: 0.00; 3.98; 0.00; 0.00